{"formula": "BeAlVPd2", "functional": "PBE-GGA", "state": "relaxed", "e_form_ev_per_atom": 1.115, "rho_g_cm3": 5.1, "lattice": [[4.557, 0.000, 0.000], [0.000, 4.557, 0.000], [0.000, 0.000, 4.701]], "species": ["Be", "Al", "V", "Pd", "Pd"], "fractional_positions": [[0.000, 0.000, 0.000], [0.500, 0.500, 0.000], [0.500, 0.500, 0.500], [0.000, 0.500, 0.500], [0.500, 0.000, 0.500]]}

{"formula": "LaCrRe2", "functional": "PBE-GGA", "state": "relaxed", "e_form_ev_per_atom": 0.515, "polymorph_energy_ev_per_fu": 0.68, "rho_g_cm3": 11.7, "lattice": [[4.692, -1.553, 0.000], [4.692, 1.553, 0.000], [-1.638, 0.000, 5.494]], "species": ["La", "Cr", "Re", "Re"], "fractional_positions": [[0.000, 0.000, 0.000], [0.784, 0.784, 0.364], [0.222, 0.222, 0.641], [0.495, 0.495, 0.495]]}

{"formula": "TmSc4Pd5", "functional": "PBE-GGA", "state": "relaxed", "e_form_ev_per_atom": -0.900, "rho_g_cm3": 7.9, "lattice": [[3.294, 0.000, 0.000], [0.000, 3.294, 0.000], [0.000, 0.000, 17.172]], "species": ["Tm", "Sc", "Sc", "Sc", "Sc", "Pd", "Pd", "Pd", "Pd", "Pd"], "fractional_positions": [[0.000, 0.000, 0.000], [0.000, 0.000, 0.205], [0.000, 0.000, 0.402], [0.000, 0.000, 0.598], [0.000, 0.000, 0.795], [0.500, 0.500, 0.110], [0.500, 0.500, 0.304], [0.500, 0.500, 0.500], [0.500, 0.500, 0.696], [0.500, 0.500, 0.890]]}

{"formula": "Dy3Si2Ni6", "functional": "PBE-GGA", "state": "relaxed", "raw_formation_energy_ev_per_atom": -0.658, "rho_g_cm3": 8.8, "lattice": [[-4.386, 4.386, 4.386], [4.386, -4.386, 4.386], [4.386, 4.386, -4.386]], "species": ["Dy", "Dy", "Dy", "Dy", "Dy", "Dy", "Si", "Si", "Si", "Si", "Ni", "Ni", "Ni", "Ni", "Ni", "Ni", "Ni", "Ni", "Ni", "Ni", "Ni", "Ni"], "fractional_positions": [[0.000, 0.286, 0.286], [0.000, 0.714, 0.714], [0.286, 0.000, 0.286], [0.286, 0.286, 0.000], [0.714, 0.000, 0.714], [0.714, 0.714, 0.000], [0.000, 0.000, 0.500], [0.000, 0.500, 0.000], [0.500, 0.000, 0.000], [0.500, 0.500, 0.500], [0.000, 0.330, 0.670], [0.000, 0.670, 0.330], [0.330, 0.000, 0.670], [0.330, 0.330, 0.660], [0.330, 0.660, 0.330], [0.330, 0.670, 0.000], [0.340, 0.670, 0.670], [0.660, 0.330, 0.330], [0.670, 0.000, 0.330], [0.670, 0.330, 0.000], [0.670, 0.340, 0.670], [0.670, 0.670, 0.340]]}